First-principles (GGA-PBE) data for a relaxed PmTm2ScP4 crystal, as listed in the Alexandria database.

CIF file:
```
data_PmTm2ScP4
_chemical_formula_sum 'Pm1 Tm2 Sc1 P4'
_symmetry_space_group_name_H-M 'P 1'
_symmetry_Int_Tables_number 1
_symmetry_space_group_name_Hall 'P 1'
_cell_length_a 3.958
_cell_length_b 6.840
_cell_length_c 6.849
_cell_angle_alpha 109.46
_cell_angle_beta 90.00
_cell_angle_gamma 90.00
loop_
_atom_site_label
_atom_site_type_symbol
_atom_site_fract_x
_atom_site_fract_y
_atom_site_fract_z
_atom_site_occupancy
Sc1 Sc 0.000 0.000 0.000 1
P1 P 0.500 0.239 0.247 1
P2 P 0.000 0.761 0.254 1
Tm1 Tm 0.000 0.500 0.500 1
P3 P 0.500 0.761 0.753 1
Tm2 Tm 0.500 0.000 0.500 1
P4 P 0.000 0.239 0.746 1
Pm1 Pm 0.500 0.500 0.000 1
```

Calculated values
Energy relative to the elements in eV/f.u.: -12.2
Raw total energy in eV/atom: -6.738